# 1
Computed, not measured: a relaxed structure of CsY3Sb at the PBE-GGA level of DFT.

CIF file:
```
data_CsY3Sb
_chemical_formula_sum 'Cs1 Y3 Sb1'
_space_group_name_H-M_alt 'P m -3 m'
_space_group_IT_number 221
_space_group_name_Hall '-P 4 2 3'
_cell_length_a 5.5731
_cell_length_b 5.5731
_cell_length_c 5.5731
_cell_angle_alpha 90.00
_cell_angle_beta 90.00
_cell_angle_gamma 90.00
loop_
_atom_site_label
_atom_site_fract_x
_atom_site_fract_y
_atom_site_fract_z
Cs1 0.0000 0.0000 0.0000
Y1 0.0000 0.0000 0.5000
Sb1 0.5000 0.5000 0.5000
```

Calculated values
- ΔE_f (raw): 1.160 eV per atom
- Crystal system: cubic
- Energy relative to the lowest polymorph listed for this composition: 451 kJ/mol of formula units
- V: 34.62 Å³/atom
- Uncorrected energy: -3.713 eV per atom

=====

# 2
Computed, not measured: a relaxed structure of CaUTl2S6 at the PBE-GGA level of DFT.

CIF file:
```
data_CaUTl2S6
_chemical_formula_sum 'Ca2 U2 Tl4 S12'
_space_group_name_H-M_alt 'P 1 21/c 1'
_space_group_IT_number 14
_cell_length_a 6.9910
_cell_length_b 7.1984
_cell_length_c 12.3126
_cell_angle_alpha 90.00
_cell_angle_beta 123.14
_cell_angle_gamma 90.00
loop_
_space_group_symop_operation_xyz
'x,y,z'
'-x,-y,-z'
'-x,y+1/2,-z+1/2'
'x,-y+1/2,z+1/2'
loop_
_atom_site_label
_atom_site_fract_x
_atom_site_fract_y
_atom_site_fract_z
Ca1 0.0000 0.0000 0.0000
U1 0.5000 0.0000 0.5000
Tl1 0.2457 0.0455 0.7490
S1 0.1467 0.0721 0.2623
S2 0.2432 0.6653 0.0543
S3 0.4097 0.1947 0.0661
```

Calculated values
- ΔE_f (raw): -0.851 eV per atom
- Crystal system: monoclinic
- V: 25.94 Å³/atom
- Uncorrected energy: -5.129 eV per atom